# 1
VASP calculation (PBE) on crystalline ZrBrF3 at its relaxed geometry.

Cell lengths 4.2595, 4.2595, 4.2595 Å; angles 90.00, 90.00, 90.00 degrees
Positions (direct):
Zr: 0.0000 0.0000 0.0000
Br: 0.5000 0.5000 0.5000
F: 0.0000 0.5000 0.0000
F: 0.0000 0.0000 0.5000
F: 0.5000 0.0000 0.0000

## Properties
Crystal system: cubic
VASP energy (eV per atom): -5.837
Formation energy from raw total energies (kcal/mol of atoms): -61.571
Magnetic moment (μB/f.u.): 0.0
E above lowest polymorph (kJ/mol of atoms): 27.62



# 2
VASP calculation (PBE) on crystalline TbSm3Au7 at its relaxed geometry.

Cell lengths 3.7672, 11.2736, 12.8453 Å; angles 90.00, 90.00, 99.62 degrees
Positions (direct):
Au: 0.7217 0.4434 0.5713
Au: 0.5953 0.1905 0.6349
Au: 0.7217 0.4434 0.9287
Au: 0.2783 0.5566 0.4287
Au: 0.4634 0.9267 0.9187
Au: 0.5366 0.0733 0.0813
Au: 0.2783 0.5566 0.0713
Au: 0.5953 0.1905 0.8651
Au: 0.4047 0.8095 0.3651
Au: 0.4634 0.9267 0.5813
Au: 0.6219 0.2437 0.2500
Au: 0.5366 0.0733 0.4187
Au: 0.4047 0.8095 0.1349
Au: 0.3781 0.7563 0.7500
Sm: 0.8582 0.7164 0.5562
Sm: 0.1862 0.3723 0.7500
Sm: 0.1418 0.2836 0.0562
Sm: 0.8582 0.7164 0.9438
Sm: 0.8138 0.6277 0.2500
Sm: 0.1418 0.2836 0.4438
Tb: 0.0015 0.0029 0.7500
Tb: 0.9985 0.9971 0.2500

## Properties
Crystal system: orthorhombic
VASP energy (eV per atom): -4.513
Formation energy (eV/atom): -0.7195
Magnetic moment (μB/f.u.): 0.0



# 3
VASP calculation (PBE) on crystalline Tl2Sn5Br12 at its relaxed geometry.

Cell lengths 7.8906, 10.5251, 10.5188 Å; angles 109.20, 90.00, 112.01 degrees
Positions (direct):
Br: 0.4995 0.9991 0.2699
Br: 0.0252 0.0505 0.2433
Br: 0.4338 0.3610 0.0797
Br: 0.1167 0.7345 0.4036
Br: 0.0728 0.6390 0.9203
Br: 0.8833 0.2655 0.5964
Br: 0.9272 0.3610 0.0797
Br: 0.9748 0.9495 0.7567
Br: 0.5005 0.0009 0.7301
Br: 0.3822 0.2655 0.5964
Br: 0.5662 0.6390 0.9203
Br: 0.6178 0.7345 0.4036
Sn: 0.0000 0.0000 0.5000
Sn: 0.7040 0.4081 0.8897
Sn: 0.2960 0.5919 0.1103
Sn: 0.6414 0.2828 0.4221
Sn: 0.3586 0.7172 0.5779
Tl: 0.2551 0.0000 0.0000
Tl: 0.7449 0.0000 0.0000

## Properties
Crystal system: monoclinic
VASP energy (eV per atom): -3.079
Formation energy from raw total energies (kcal/mol of atoms): -16.606
Magnetic moment (μB/f.u.): 0.0



# 4
VASP calculation (PBE) on crystalline LaH2Au at its relaxed geometry.

Cell lengths 4.6135, 4.6135, 6.5454 Å; angles 69.36, 69.36, 90.00 degrees
Positions (direct):
H: 0.8750 0.0095 0.7500
H: 0.7595 0.1250 0.2500
H: 0.3750 0.2405 0.7500
H: 0.9905 0.6250 0.2500
Au: 0.0000 0.0000 0.0000
Au: 0.7500 0.2500 0.5000
La: 0.5000 0.5000 0.0000
La: 0.2500 0.7500 0.5000

## Properties
Crystal system: tetragonal
VASP energy (eV per atom): -3.974
Magnetic moment (μB/f.u.): 0.0
E above lowest polymorph (kJ/mol of atoms): 30.27



# 5
VASP calculation (PBE) on crystalline TbPaS2 at its relaxed geometry.

Cell lengths 3.8168, 3.8168, 8.7930 Å; angles 77.46, 77.46, 60.00 degrees
Last column: magnetic moment on the atom in μB.
Positions (direct):
S: 0.8957 0.8957 0.3129  -0.01
S: 0.1043 0.1043 0.6871  -0.01
Pa: 0.0000 0.0000 0.0000  0.73
Tb: 0.5000 0.5000 0.5000  0.04

## Properties
Crystal system: trigonal
VASP energy (eV per atom): -6.772
Formation energy from raw total energies (kcal/mol of atoms): -27.143
Magnetic moment (μB/f.u.): 0.9
E above lowest polymorph (kJ/mol of atoms): 58.33



# 6
VASP calculation (PBE) on crystalline MnRh2Br at its relaxed geometry.

Cell lengths 8.4648, 8.4648, 8.4648 Å; angles 20.30, 20.30, 20.30 degrees
Last column: magnetic moment on the atom in μB.
Positions (direct):
Mn: 0.7500 0.7500 0.7500  3.31
Br: 0.2500 0.2500 0.2500  0.01
Rh: 0.4934 0.4934 0.4934  0.07
Rh: 0.0066 0.0066 0.0066  0.07

## Properties
Crystal system: trigonal
VASP energy (eV per atom): -6.086
Formation energy from raw total energies (kcal/mol of atoms): 6.924
Magnetic moment (μB/f.u.): 3.6
E above lowest polymorph (kJ/mol of atoms): 7.18



# 7
VASP calculation (PBE) on crystalline SrNiAg2 at its relaxed geometry.

Cell lengths 4.1839, 4.2254, 4.6875 Å; angles 90.00, 90.00, 90.00 degrees
Positions (direct):
Ag: 0.0000 0.0000 0.0000
Ag: 0.5000 0.5000 0.0000
Sr: 0.0000 0.5000 0.5000
Ni: 0.5000 0.0000 0.5000

## Properties
Crystal system: orthorhombic
VASP energy (eV per atom): -3.135
Formation energy (eV/atom): 0.1560
Magnetic moment (μB/f.u.): 0.0



# 8
VASP calculation (PBE) on crystalline NpTeCl2 at its relaxed geometry.

Cell lengths 3.9306, 7.3363, 8.7210 Å; angles 90.00, 90.00, 105.54 degrees
Last column: magnetic moment on the atom in μB.
Positions (direct):
Cl: 0.6695 0.3390 0.0735  -0.06
Cl: 0.3305 0.6610 0.5735  -0.06
Cl: 0.3305 0.6610 0.9265  -0.06
Cl: 0.6695 0.3390 0.4265  -0.06
Np: 0.2676 0.5351 0.2500  3.55
Np: 0.7324 0.4649 0.7500  3.55
Te: 0.9262 0.8523 0.2500  -0.30
Te: 0.0738 0.1477 0.7500  -0.30

## Properties
Crystal system: orthorhombic
VASP energy (eV per atom): -6.097
Formation energy from raw total energies (kcal/mol of atoms): -26.585
Magnetic moment (μB/f.u.): 3.0



# 9
VASP calculation (PBE) on crystalline LiRe3 at its relaxed geometry.

Cell lengths 2.7405, 2.7405, 9.2828 Å; angles 90.00, 90.00, 120.00 degrees
Positions (direct):
Re: 0.6667 0.3333 0.2592
Re: 0.6667 0.3333 0.7408
Re: 0.0000 0.0000 0.5000
Li: 0.0000 0.0000 0.0000

## Properties
Crystal system: hexagonal
VASP energy (eV per atom): -9.585
Formation energy (eV/atom): 0.2290
Magnetic moment (μB/f.u.): 0.0
E above lowest polymorph (kJ/mol of atoms): 4.14



# 10
VASP calculation (PBE) on crystalline ErZr2Sn at its relaxed geometry.

Cell lengths 3.2020, 3.2020, 11.5338 Å; angles 82.02, 82.02, 60.00 degrees
Positions (direct):
Zr: 0.9075 0.9075 0.2775
Zr: 0.0925 0.0925 0.7225
Sn: 0.5000 0.5000 0.5000
Er: 0.0000 0.0000 0.0000

## Properties
Crystal system: trigonal
VASP energy (eV per atom): -6.294
Formation energy (eV/atom): 0.1216
Magnetic moment (μB/f.u.): 0.0
E above lowest polymorph (kJ/mol of atoms): 55.79



# 11
VASP calculation (PBE) on crystalline BeTlTc at its relaxed geometry.

Cell lengths 2.9949, 2.9949, 6.5162 Å; angles 90.00, 90.00, 120.00 degrees
Positions (direct):
Be: 0.0000 0.0000 0.0447
Tl: 0.3333 0.6667 0.6632
Tc: 0.6667 0.3333 0.2921

## Properties
Crystal system: trigonal
VASP energy (eV per atom): -4.778
Formation energy (eV/atom): 0.7086
Magnetic moment (μB/f.u.): 0.0
E above lowest polymorph (kJ/mol of atoms): 25.18



# 12
VASP calculation (PBE) on crystalline CdSb2 at its relaxed geometry.

Cell lengths 5.4279, 5.4279, 3.1868 Å; angles 90.00, 90.00, 120.00 degrees
Positions (direct):
Sb: 0.3333 0.6667 0.5000
Sb: 0.6667 0.3333 0.5000
Cd: 0.0000 0.0000 0.0000

## Properties
Crystal system: hexagonal
VASP energy (eV per atom): -2.915
Formation energy from raw total energies (kcal/mol of atoms): 3.181
Magnetic moment (μB/f.u.): 0.0